Compound: HoPaC2
Source: Alexandria
Functional: PBE
Structure: relaxed

Values from the calculation:
E_form (eV per atom): -0.42
Fermi-level density of states (states/eV per atom): 0.37
Magnetization (μB/f.u.): 0.000

Cell: 3.6260 3.6260 6.1747 Å, 72.93 72.93 60.00°
Closest atoms and distances in Å follow each position.
Element x y z (fractional)
C 0.2572 0.2572 0.2282  3 Pa 2.48, 3 Ho 2.62
C 0.7428 0.7428 0.7718  3 Pa 2.48, 3 Ho 2.62
Pa 0.0000 0.0000 0.0000  6 C 2.48
Ho 0.5000 0.5000 0.5000  6 C 2.62


Compound: HoPa2C3
Source: Alexandria
Functional: PBE
Structure: relaxed

Values from the calculation:
E_form (eV per atom): -0.43
Fermi-level density of states (states/eV per atom): 0.56
Magnetization (μB/f.u.): 0.000

Cell: 3.6257 5.0757 6.2244 Å, 114.06 106.93 90.00°
Closest atoms and distances in Å follow each position.
Element x y z (fractional)
C 0.8207 0.3207 0.1415  4 Pa 2.46-2.54, 2 Ho 2.65
C 0.5000 0.0000 0.5000  2 Ho 2.54, 4 Pa 2.54
C 0.1793 0.6793 0.8585  4 Pa 2.46-2.54, 2 Ho 2.65
Ho 0.5000 0.5000 0.5000  6 C 2.54-2.65
Pa 0.8343 0.8343 0.1685  6 C 2.46-2.54
Pa 0.1657 0.1657 0.8315  6 C 2.46-2.54


Compound: HoPaC
Source: Alexandria
Functional: PBE
Structure: relaxed

Values from the calculation:
E_form (eV per atom): 0.20
Fermi-level density of states (states/eV per atom): 1.45
Magnetization (μB/f.u.): 0.000

Cell: 3.1469 3.1469 6.2428 Å, 104.60 104.60 90.00°
Closest atoms and distances in Å follow each position.
Element x y z (fractional)
Ho 0.9650 0.9650 0.9301  4 C 2.82, 1 Pa 2.88, 4 Ho 3.15
Pa 0.7185 0.7185 0.4369  4 C 2.50
C 0.3165 0.3165 0.6330  4 Pa 2.50


Compound: HoPaC
Source: Alexandria
Functional: PBE
Structure: relaxed

Values from the calculation:
E_form (eV per atom): 0.36
Fermi-level density of states (states/eV per atom): 0.98
Magnetization (μB/f.u.): 0.000

Cell: 7.4090 7.4090 6.9700 Å, 90.00 90.00 120.00°
Closest atoms and distances in Å follow each position.
Element x y z (fractional)
C 0.3333 0.6667 0.9708  3 Pa 2.54
C 0.0000 0.0000 0.7500  6 Ho 2.51
C 0.6667 0.3333 0.0292  3 Pa 2.54
C 0.6667 0.3333 0.4708  3 Pa 2.54
C 0.0000 0.0000 0.2500  6 Ho 2.51
C 0.3333 0.6667 0.5292  3 Pa 2.54
Ho 0.2440 0.0000 0.5000  2 C 2.51
Ho 0.0000 0.2440 0.5000  2 C 2.51
Ho 0.2440 0.0000 0.0000  2 C 2.51
Ho 0.7560 0.7560 0.0000  2 C 2.51
Ho 0.7560 0.7560 0.5000  2 C 2.51
Ho 0.0000 0.2440 0.0000  2 C 2.51
Pa 0.4141 0.4432 0.7500  2 C 2.54
Pa 0.5859 0.0291 0.2500  2 C 2.54
Pa 0.5568 0.9709 0.7500  2 C 2.54
Pa 0.4432 0.4141 0.2500  2 C 2.54
Pa 0.9709 0.5568 0.2500  2 C 2.54
Pa 0.0291 0.5859 0.7500  2 C 2.54


Compound: HoPaC
Source: Alexandria
Functional: PBE
Structure: relaxed

Values from the calculation:
E_form (eV per atom): -0.21
Fermi-level density of states (states/eV per atom): 1.54
Magnetization (μB/f.u.): 0.321

Cell: 6.1196 3.4739 3.4739 Å, 120.00 90.00 90.00°
Closest atoms and distances in Å follow each position.
Element x y z (fractional)
C 0.0094 0.0000 0.0000  3 Pa 2.40, 3 Ho 2.50
Pa 0.2239 0.3333 0.6667  3 C 2.40
Ho 0.7668 0.6667 0.3333  3 C 2.50


Compound: HoPaC2
Source: Alexandria
Functional: PBE
Structure: relaxed

Values from the calculation:
E_form (eV per atom): -0.23
Fermi-level density of states (states/eV per atom): 0.13
Magnetization (μB/f.u.): 0.000

Cell: 3.5837 3.5837 6.2738 Å, 73.40 73.40 60.00°
Closest atoms and distances in Å follow each position.
Element x y z (fractional)
C 0.0761 0.0761 0.7716  3 Pa 2.47, 3 Ho 2.60
C 0.2592 0.2592 0.2224  3 Pa 2.46, 3 Ho 2.67
Pa 0.6669 0.6669 0.9992  6 C 2.46-2.47
Ho 0.4977 0.4977 0.5068  6 C 2.60-2.67


Compound: Ho4PaC4
Source: Alexandria
Functional: PBE
Structure: relaxed

Values from the calculation:
E_form (eV per atom): -0.34
Fermi-level density of states (states/eV per atom): 0.53
Magnetization (μB/f.u.): 0.991

Cell: 3.6202 6.2377 8.0578 Å, 75.29 77.02 73.13°
Closest atoms and distances in Å follow each position.
Element x y z (fractional)
Ho 0.8884 0.8333 0.3898  4 C 2.43-2.58
Ho 0.7046 0.4010 0.1899  5 C 2.49-2.62
Ho 0.1116 0.1667 0.6102  4 C 2.43-2.58
Ho 0.2954 0.5990 0.8101  5 C 2.49-2.62
C 0.9076 0.2814 0.9034  2 Pa 2.48, 4 Ho 2.49-2.62
C 0.6978 0.8996 0.7048  5 Ho 2.43-2.58, 1 Pa 2.51
C 0.0924 0.7186 0.0966  2 Pa 2.48, 4 Ho 2.49-2.62
C 0.3022 0.1004 0.2952  5 Ho 2.43-2.58, 1 Pa 2.51
Pa 0.5000 0.0000 0.0000  6 C 2.48-2.51


Compound: HoPaC2
Source: Alexandria
Functional: PBE
Structure: relaxed

Values from the calculation:
E_form (eV per atom): -0.42
Fermi-level density of states (states/eV per atom): 0.21
Magnetization (μB/f.u.): 0.000

Cell: 5.0661 5.0661 6.2636 Å, 113.85 113.85 90.00°
Closest atoms and distances in Å follow each position.
Element x y z (fractional)
Pa 0.0000 0.0000 0.0000  6 C 2.42-2.54
Pa 0.7500 0.2500 0.5000  6 C 2.42-2.54
C 0.9860 0.4860 0.9720  3 Pa 2.42-2.54, 3 Ho 2.54-2.71
C 0.7640 0.7640 0.5280  3 Pa 2.42-2.54, 3 Ho 2.54-2.71
C 0.2360 0.2360 0.4720  3 Pa 2.42-2.54, 3 Ho 2.54-2.71
C 0.5140 0.0140 0.0280  3 Pa 2.42-2.54, 3 Ho 2.54-2.71
Ho 0.2500 0.7500 0.5000  6 C 2.54-2.71
Ho 0.5000 0.5000 0.0000  6 C 2.54-2.71


Compound: HoPa3C
Source: Alexandria
Functional: PBE
Structure: relaxed

Values from the calculation:
E_form (eV per atom): -0.07
Fermi-level density of states (states/eV per atom): 1.13
Magnetization (μB/f.u.): 0.000

Cell: 4.8748 4.8748 4.8748 Å, 90.00 90.00 90.00°
Closest atoms and distances in Å follow each position.
Element x y z (fractional)
Pa 0.0000 0.0000 0.5000  2 C 2.44
Pa 0.5000 0.0000 0.0000  2 C 2.44
Pa 0.0000 0.5000 0.0000  2 C 2.44
C 0.0000 0.0000 0.0000  6 Pa 2.44
Ho 0.5000 0.5000 0.5000  12 Pa 3.45


Compound: Ho2PaC
Source: Alexandria
Functional: PBE
Structure: relaxed

Values from the calculation:
E_form (eV per atom): 0.08
Fermi-level density of states (states/eV per atom): 1.35
Magnetization (μB/f.u.): 0.013

Cell: 3.3795 3.3795 9.7255 Å, 79.99 79.99 60.00°
Closest atoms and distances in Å follow each position.
Element x y z (fractional)
Ho 0.8814 0.8814 0.3558  3 C 2.39
Ho 0.1186 0.1186 0.6442  3 C 2.39
C 0.5000 0.5000 0.5000  6 Ho 2.39
Pa 0.0000 0.0000 0.0000  6 Pa 3.38, 2 Ho 3.39


Compound: HoPaPbC
Source: Alexandria
Functional: PBE
Structure: relaxed

Values from the calculation:
E_form (eV per atom): -0.28
Fermi-level density of states (states/eV per atom): 0.86
Magnetization (μB/f.u.): 0.000

Cell: 3.4939 3.4939 9.0285 Å, 78.84 78.84 60.00°
Closest atoms and distances in Å follow each position.
Element x y z (fractional)
C 0.7102 0.7102 0.8693  3 Pa 2.42, 3 Ho 2.48
Pb 0.8694 0.8694 0.3918  1 Pa 3.26, 3 Ho 3.41, 6 Pb 3.49
Pa 0.9929 0.9929 0.0213  3 C 2.42
Ho 0.4317 0.4317 0.7048  3 C 2.48


Compound: HoPuPa2C4
Source: Alexandria
Functional: PBE
Structure: relaxed

Values from the calculation:
E_form (eV per atom): -0.29
Fermi-level density of states (states/eV per atom): 1.35
Magnetization (μB/f.u.): 4.788

Cell: 3.6157 6.1601 6.2542 Å, 70.04 90.00 90.00°
Closest atoms and distances in Å follow each position.
Element x y z (fractional)
C 0.5000 0.7670 0.2397  3 Pa 2.47-2.51, 1 Pu 2.58, 2 Ho 2.61
C 0.0000 0.7636 0.7466  3 Pa 2.49-2.50, 2 Pu 2.58, 1 Ho 2.59
C 0.5000 0.2330 0.7603  3 Pa 2.47-2.51, 1 Pu 2.58, 2 Ho 2.61
C 0.0000 0.2364 0.2534  3 Pa 2.49-2.50, 2 Pu 2.58, 1 Ho 2.59
Pu 0.5000 0.5000 0.0000  6 C 2.58
Pa 0.5000 0.0000 0.5000  6 C 2.50-2.51
Pa 0.0000 0.0000 0.0000  6 C 2.47-2.49
Ho 0.0000 0.5000 0.5000  6 C 2.59-2.61